(1)
DFT (PBE-GGA) results for a relaxed structure of TeP2S.

The total magnetic moment comes out at 0.0 Bohr magnetons per cell. The calculation puts the raw total energy at -15.9 eV/f.u.

The space group is I-42d (No. 122) and the conventional cell measures 6.779, 6.779 and 7.798 Å, with angles of 90.00, 90.00 and 90.00 degrees. The asymmetric unit holds Te at (0.000, 0.000, 0.000), P at (0.216, 0.250, 0.625) and S at (0.000, 0.000, 0.500).

=====

(2)
DFT (PBE-GGA) results for a relaxed structure of TeP2S.

The total magnetic moment comes out at 0.0 Bohr magnetons per cell. The calculation puts the raw total energy at -15.0 eV/f.u.

The space group is Fm-3m (No. 225) and the conventional cell measures 6.637, 6.637 and 6.637 Å, with angles of 90.00, 90.00 and 90.00 degrees. The asymmetric unit holds Te at (0.000, 0.000, 0.000), P at (0.250, 0.250, 0.250) and S at (0.000, 0.000, 0.500).

=====

- raw total energy of number 2 (TeP2S)?
  -15.0 eV/f.u.

=====

What did the first record say?
DFT (PBE-GGA) results for a relaxed structure of TeP2S.

The total magnetic moment comes out at 0.0 Bohr magnetons per cell. The calculation puts the raw total energy at -15.9 eV/f.u.

The space group is I-42d (No. 122) and the conventional cell measures 6.779, 6.779 and 7.798 Å, with angles of 90.00, 90.00 and 90.00 degrees. The asymmetric unit holds Te at (0.000, 0.000, 0.000), P at (0.216, 0.250, 0.625) and S at (0.000, 0.000, 0.500).

=====

Copy entry 1 word for word.
DFT (PBE-GGA) results for a relaxed structure of TeP2S.

The total magnetic moment comes out at 0.0 Bohr magnetons per cell. The calculation puts the raw total energy at -15.9 eV/f.u.

The space group is I-42d (No. 122) and the conventional cell measures 6.779, 6.779 and 7.798 Å, with angles of 90.00, 90.00 and 90.00 degrees. The asymmetric unit holds Te at (0.000, 0.000, 0.000), P at (0.216, 0.250, 0.625) and S at (0.000, 0.000, 0.500).